Record 1
The following is a PBE calculation of an optimized crystal structure of AgF, from OQMD.

a b c (Å): 3.4586 3.4586 8.5039
angles (deg): 90.00 90.00 120.00
Space group P3_121 (No. 152)
Symmetry-distinct sites (fractional):
Ag  0.0000  0.6624  0.1667 [3 per cell]
F  0.0000  0.6673  0.6667 [3 per cell]

Summary:
ΔE to the lowest computed polymorph = 3 meV/atom
Energy = -3.299 eV per atom

Record 2
The following is a PBE calculation of an optimized crystal structure of Ag2F3, from OQMD.

a b c (Å): 5.9050 5.9050 13.6197
angles (deg): 90.00 90.00 120.00
Space group R-3c (No. 167, hexagonal axes)
Symmetry-distinct sites (fractional):
Ag  0.0000  0.0000  0.0000 [6 per cell]
Ag  0.0000  0.0000  0.2500 [6 per cell]
F  0.0000  0.3844  0.2500 [18 per cell]

Summary:
ΔE to the lowest computed polymorph = 18 meV/atom
Energy = -3.286 eV per atom

Record 3
The following is a PBE calculation of an optimized crystal structure of Ag5F, from OQMD.

a b c (Å): 5.4019 5.4019 4.6966
angles (deg): 90.00 90.00 120.00
Space group P6/mmm (No. 191)
Symmetry-distinct sites (fractional):
Ag  0.0000  0.5000  0.0000 [3 per cell]
Ag  0.3333  0.6667  0.5000 [2 per cell]
F  0.0000  0.0000  0.5000 [1 per cell]

Summary:
Energy = -2.713 eV per atom